{
  "formula": "Ce3MgAu4",
  "functional": "GGA-PBE",
  "state": "optimized geometry",
  "lattice": [[-1.2426, 1.0948, -3.0767], [-3.1623, 0.4183, 1.4260], [3.5434, 14.3080, 3.6602]],
  "species": ["Mg", "Au", "Au", "Au", "Au", "Ce", "Ce", "Ce"],
  "frac_coords": [[0.5000, 0.5000, 0.0000], [0.0000, 0.0000, 0.8971], [0.0000, 0.0000, 0.1029], [0.0000, 0.0000, 0.3685], [0.0000, 0.0000, 0.6315], [0.5000, 0.5000, 0.2347], [0.5000, 0.5000, 0.5000], [0.5000, 0.5000, 0.7653]],
  "dft_energy_ev_per_atom": -4.656,
  "formation_energy_ev_per_fu": -4.74,
  "vol_a3_per_cell": 185.4,
  "crystal_system": "tetragonal",
  "sg": "P4/mmm (123)"
}

=====

{
  "formula": "CeMgAu",
  "functional": "GGA-PBE",
  "state": "optimized geometry",
  "lattice": [[3.3298, 0.0000, 0.0000], [0.0000, 3.3298, 0.0000], [-1.6649, -1.6649, 6.2425]],
  "species": ["Mg", "Au", "Ce"],
  "frac_coords": [[0.9230, 0.9230, 0.8460], [0.2977, 0.2977, 0.5953], [0.6293, 0.6293, 0.2586]],
  "dft_energy_ev_per_atom": -4.002,
  "formation_energy_ev_per_fu": -1.20,
  "vol_a3_per_cell": 69.2,
  "crystal_system": "tetragonal",
  "sg": "I4mm (107)"
}

=====

{
  "formula": "Ce3MgAu3",
  "functional": "GGA-PBE",
  "state": "optimized geometry",
  "lattice": [[6.8253, 0.8949, 0.2937], [-2.2396, 6.5092, 0.2937], [-0.3801, -0.6137, 7.6154]],
  "species": ["Ce", "Ce", "Ce", "Ce", "Ce", "Ce", "Mg", "Mg", "Au", "Au", "Au", "Au", "Au", "Au"],
  "frac_coords": [[0.6219, 0.6219, 0.3849], [0.1311, 0.8689, 0.5000], [0.8689, 0.1311, 0.5000], [0.2610, 0.7390, 0.0000], [0.7390, 0.2610, 0.0000], [0.3781, 0.3781, 0.6151], [0.7553, 0.7553, 0.8322], [0.2447, 0.2447, 0.1678], [0.8952, 0.8952, 0.1530], [0.9722, 0.5017, 0.7090], [0.5017, 0.9722, 0.7090], [0.0278, 0.4983, 0.2910], [0.4983, 0.0278, 0.2910], [0.1048, 0.1048, 0.8470]],
  "dft_energy_ev_per_atom": -4.632,
  "formation_energy_ev_per_fu": -3.20,
  "vol_a3_per_cell": 355.9,
  "crystal_system": "monoclinic",
  "sg": "C2/m (12)"
}

=====

{
  "formula": "CeMgAu",
  "functional": "GGA-PBE",
  "state": "optimized geometry",
  "lattice": [[4.5935, 0.0000, -0.0071], [0.0000, 3.9343, 0.0022], [0.0117, -1.9629, 7.5036]],
  "species": ["Ce", "Ce", "Mg", "Mg", "Au", "Au"],
  "frac_coords": [[0.2500, 0.9401, 0.8804], [0.7500, 0.0599, 0.1196], [0.2500, 0.2521, 0.5040], [0.7500, 0.7479, 0.4960], [0.2499, 0.6207, 0.2413], [0.7501, 0.3793, 0.7587]],
  "dft_energy_ev_per_atom": -4.082,
  "formation_energy_ev_per_fu": -1.44,
  "vol_a3_per_cell": 135.6,
  "crystal_system": "monoclinic",
  "sg": "P2_1/m (11)"
}

=====

{
  "formula": "CeMgAu3",
  "functional": "GGA-PBE",
  "state": "optimized geometry",
  "lattice": [[-1.6451, 4.0124, 0.6361], [-1.0196, -1.0720, 4.1257], [6.5823, 0.3996, -0.5977]],
  "species": ["Ce", "Mg", "Au", "Au", "Au"],
  "frac_coords": [[0.9988, 0.9988, 0.9976], [0.6391, 0.6391, 0.2782], [0.2652, 0.7652, 0.5305], [0.7652, 0.2652, 0.5305], [0.4219, 0.4219, 0.8438]],
  "dft_energy_ev_per_atom": -3.919,
  "formation_energy_ev_per_fu": -2.23,
  "vol_a3_per_cell": 112.4,
  "de_polymorph_mev_per_atom": 156,
  "crystal_system": "tetragonal",
  "sg": "I4mm (107)"
}

=====

{
  "formula": "CeNdMgAu",
  "functional": "GGA-PBE",
  "state": "optimized geometry",
  "lattice": [[5.3392, 0.0000, 0.0000], [2.6696, 4.6238, 0.0000], [2.6696, 1.5413, 4.3594]],
  "species": ["Nd", "Mg", "Au", "Ce"],
  "frac_coords": [[0.2500, 0.2500, 0.2500], [0.5000, 0.5000, 0.5000], [0.0000, 0.0000, 0.0000], [0.7500, 0.7500, 0.7500]],
  "dft_energy_ev_per_atom": -4.152,
  "formation_energy_ev_per_fu": -1.03,
  "vol_a3_per_cell": 107.6,
  "crystal_system": "cubic",
  "sg": "F-43m (216)"
}

=====

{
  "formula": "CeMgNiAu",
  "functional": "GGA-PBE",
  "state": "optimized geometry",
  "lattice": [[4.8382, 0.0000, 0.0000], [2.4191, 4.1900, 0.0000], [2.4191, 1.3967, 3.9504]],
  "species": ["Ni", "Mg", "Au", "Ce"],
  "frac_coords": [[0.0000, 0.0000, 0.0000], [0.7500, 0.7500, 0.7500], [0.5000, 0.5000, 0.5000], [0.2500, 0.2500, 0.2500]],
  "dft_energy_ev_per_atom": -4.542,
  "formation_energy_ev_per_fu": -1.58,
  "vol_a3_per_cell": 80.1,
  "crystal_system": "cubic",
  "sg": "F-43m (216)"
}

=====

{
  "formula": "CeMgPdAu",
  "functional": "GGA-PBE",
  "state": "optimized geometry",
  "lattice": [[-3.4362, 2.8594, 2.0813], [-2.1528, -1.3994, 4.2098], [0.9954, 2.3958, 4.1934]],
  "species": ["Mg", "Au", "Pd", "Ce"],
  "frac_coords": [[0.2500, 0.2500, 0.2500], [0.0000, 0.0000, 0.0000], [0.5000, 0.5000, 0.5000], [0.7500, 0.7500, 0.7500]],
  "dft_energy_ev_per_atom": -4.642,
  "formation_energy_ev_per_fu": -2.57,
  "vol_a3_per_cell": 84.8,
  "crystal_system": "cubic",
  "sg": "F-43m (216)"
}

=====

{
  "formula": "CePmMgAu",
  "functional": "GGA-PBE",
  "state": "optimized geometry",
  "lattice": [[5.3206, 0.0000, 0.0000], [2.6603, 4.6078, 0.0000], [2.6603, 1.5359, 4.3443]],
  "species": ["Mg", "Au", "Ce", "Pm"],
  "frac_coords": [[0.5000, 0.5000, 0.5000], [0.0000, 0.0000, 0.0000], [0.2500, 0.2500, 0.2500], [0.7500, 0.7500, 0.7500]],
  "dft_energy_ev_per_atom": -4.153,
  "formation_energy_ev_per_fu": -1.05,
  "vol_a3_per_cell": 106.5,
  "crystal_system": "cubic",
  "sg": "F-43m (216)"
}

=====

{
  "formula": "CePrMg2Au4",
  "functional": "GGA-PBE",
  "state": "optimized geometry",
  "lattice": [[-0.3265, 4.7078, -1.8789], [1.0025, 0.8516, -4.9061], [-7.5305, 0.5955, -4.0648]],
  "species": ["Ce", "Pr", "Mg", "Mg", "Au", "Au", "Au", "Au"],
  "frac_coords": [[0.5000, 0.5000, 0.5000], [0.0000, 0.0000, 0.0000], [0.7499, 0.7499, 0.7504], [0.2501, 0.2501, 0.2496], [0.3740, 0.3740, 0.8781], [0.8699, 0.8699, 0.3903], [0.1301, 0.1301, 0.6097], [0.6260, 0.6260, 0.1219]],
  "dft_energy_ev_per_atom": -4.064,
  "formation_energy_ev_per_fu": -5.50,
  "vol_a3_per_cell": 180.1,
  "crystal_system": "trigonal",
  "sg": "R-3m (166)"
}

=====

{
  "formula": "CeMgPtAu",
  "functional": "GGA-PBE",
  "state": "optimized geometry",
  "lattice": [[-2.0156, -1.4900, 4.2271], [-2.5290, -4.2105, 0.1667], [1.8520, -3.8866, 2.3698]],
  "species": ["Mg", "Au", "Ce", "Pt"],
  "frac_coords": [[0.5000, 0.5000, 0.5000], [0.2500, 0.2500, 0.2500], [0.0000, 0.0000, 0.0000], [0.7500, 0.7500, 0.7500]],
  "dft_energy_ev_per_atom": -4.991,
  "formation_energy_ev_per_fu": -3.12,
  "vol_a3_per_cell": 83.9,
  "crystal_system": "cubic",
  "sg": "F-43m (216)"
}

=====

{
  "formula": "CePuMgAu",
  "functional": "GGA-PBE",
  "state": "optimized geometry",
  "lattice": [[5.0805, 0.0000, 0.0000], [2.5402, 4.3998, 0.0000], [2.5402, 1.4666, 4.1482]],
  "species": ["Mg", "Au", "Ce", "Pu"],
  "frac_coords": [[0.0000, 0.0000, 0.0000], [0.7500, 0.7500, 0.7500], [0.5000, 0.5000, 0.5000], [0.2500, 0.2500, 0.2500]],
  "dft_energy_ev_per_atom": -6.490,
  "formation_energy_ev_per_fu": -0.82,
  "vol_a3_per_cell": 92.7,
  "crystal_system": "cubic",
  "sg": "F-43m (216)"
}

=====

Number 1: spin magnetization 3.2 μB/f.u.. Number 2: spin magnetization 0.6 μB/f.u.. Number 3: spin magnetization 2.8 μB/f.u.. Number 4: spin magnetization 0.6 μB/f.u.. Number 5: spin magnetization 1.1 μB/f.u.. Number 6: spin magnetization 1.4 μB/f.u.. Number 7: spin magnetization 0.3 μB/f.u.. Number 8: spin magnetization 0.5 μB/f.u.. Number 9: spin magnetization 1.3 μB/f.u.. Number 10: spin magnetization 0.8 μB/f.u.. Number 11: spin magnetization 0.3 μB/f.u.. Number 12: spin magnetization 7.1 μB/f.u..